# TeMoHOs2 PBE-GGA relaxed
data_TeMoHOs2
_chemical_formula_sum 'Te1 Mo1 H1 Os2'
_cell_length_a 4.857
_cell_length_b 4.857
_cell_length_c 5.170
_cell_angle_alpha 90.00
_cell_angle_beta 90.00
_cell_angle_gamma 90.00
_symmetry_space_group_name_H-M 'P 4/m m m'
_symmetry_Int_Tables_number 123
_symmetry_space_group_name_Hall '-P 4 2'
loop_
_atom_site_label
_atom_site_fract_x
_atom_site_fract_y
_atom_site_fract_z
Te1 0.000 0.000 0.000
Mo1 0.000 0.000 0.500
H1 0.500 0.500 0.500
Os1 0.000 0.500 0.000
# crystal system: tetragonal
# N(E_F): 1.208 states/eV/atom
# M_tot: 0.7 μB per cell
# final energy: -5.10 eV per atom

# SmSnS2 PBE-GGA relaxed
data_SmSnS2
_chemical_formula_sum 'Sm3 Sn3 S6'
_cell_length_a 3.9259
_cell_length_b 3.9259
_cell_length_c 25.4906
_cell_angle_alpha 90.00
_cell_angle_beta 90.00
_cell_angle_gamma 120.00
_symmetry_space_group_name_H-M 'R -3 m'
_symmetry_Int_Tables_number 166
_symmetry_space_group_name_Hall '-R 3 2"'
loop_
_atom_site_label
_atom_site_fract_x
_atom_site_fract_y
_atom_site_fract_z
Sm1 0.0000 0.0000 0.0000
Sn1 0.0000 0.0000 0.5000
S1 0.0000 0.0000 0.1049
# crystal system: trigonal
# N(E_F): 0.368 states/eV/atom
# M_tot: 0.0 μB per cell
# final energy: -4.79 eV per atom